No. 1
Below is NaLiTbSn after structural relaxation, with properties calculated at the PBE level.

Cell lengths 5.175, 5.175, 5.175 Å; angles 60.00, 60.00, 60.00 degrees
Fractional positions:
1 Na 0.000 0.000 0.000
2 Li 0.250 0.250 0.250
3 Tb 0.750 0.750 0.750
4 Sn 0.500 0.500 0.500

Properties
**Calculated formation energy**: -109 kJ/mol of formula units
**SG**: F-43m (216)
**V**: 97.99 Å³/f.u.
**Total DFT energy (no corrections)**: -0.2387 Ry per atom

---

No. 2
Below is Ca3Al4Zn after structural relaxation, with properties calculated at the PBE level.

Cell lengths 5.704, 11.463, 6.063 Å; angles 90.00, 90.00, 90.00 degrees
Fractional positions:
1 Ca 0.250 0.006 0.184
2 Ca 0.250 0.494 0.184
3 Ca 0.250 0.750 0.542
4 Ca 0.750 0.250 0.458
5 Ca 0.750 0.506 0.816
6 Ca 0.750 0.994 0.816
7 Al 0.009 0.750 0.034
8 Al 0.250 0.123 0.679
9 Al 0.250 0.377 0.679
10 Al 0.491 0.750 0.034
11 Al 0.509 0.250 0.966
12 Al 0.750 0.623 0.321
13 Al 0.750 0.877 0.321
14 Al 0.991 0.250 0.966
15 Zn 0.250 0.250 0.322
16 Zn 0.750 0.750 0.678

Properties
**Calculated formation energy**: -192 kJ/mol of formula units
**SG**: Pmmn (59)
**V**: 198.19 Å³/f.u.
**Total DFT energy (no corrections)**: -0.2227 Ry per atom

---

No. 3
Below is Th4PdRhSe2 after structural relaxation, with properties calculated at the PBE level.

Cell lengths 7.129, 4.147, 7.653 Å; angles 90.00, 107.97, 90.00 degrees
Fractional positions:
1 Th 0.238 0.000 0.227
2 Th 0.248 0.500 0.768
3 Th 0.752 0.500 0.232
4 Th 0.762 0.000 0.773
5 Pd 0.500 0.000 0.000
6 Rh 0.000 0.500 0.000
7 Se 0.000 0.000 0.500
8 Se 0.500 0.500 0.500

Properties
**SG**: P2/m (10)
**E_form (uncorrected)**: -1.1406 eV per atom
**V**: 215.23 Å³/f.u.
**Total DFT energy (no corrections)**: -0.5358 Ry per atom

---

No. 4
Below is CeBe2VN4 after structural relaxation, with properties calculated at the PBE level.

Cell lengths 6.251, 6.251, 8.829 Å; angles 90.00, 90.00, 150.78 degrees
Fractional positions:
1 Ce 0.056 0.944 0.750
2 Ce 0.944 0.056 0.250
3 Be 0.409 0.591 0.541
4 Be 0.409 0.591 0.959
5 Be 0.591 0.409 0.041
6 Be 0.591 0.409 0.459
7 V 0.226 0.774 0.250
8 V 0.774 0.226 0.750
9 N 0.000 0.000 0.000
10 N 0.000 0.000 0.500
11 N 0.321 0.679 0.102
12 N 0.321 0.679 0.398
13 N 0.382 0.618 0.750
14 N 0.618 0.382 0.250
15 N 0.679 0.321 0.602
16 N 0.679 0.321 0.898

Properties
**SG**: Cmcm (63)
**E_form (uncorrected)**: -0.8403 eV per atom
**V**: 84.23 Å³/f.u.
**Total DFT energy (no corrections)**: -0.5745 Ry per atom

---

No. 5
Below is LiCa2HPd6 after structural relaxation, with properties calculated at the PBE level.

Cell lengths 6.099, 6.099, 6.099 Å; angles 120.06, 120.06, 89.90 degrees
Fractional positions:
1 Li 0.000 0.000 0.000
2 Ca 0.250 0.750 0.500
3 Ca 0.750 0.250 0.500
4 H 0.500 0.500 0.000
5 Pd 0.266 0.266 0.000
6 Pd 0.267 0.267 0.533
7 Pd 0.267 0.733 0.000
8 Pd 0.733 0.267 0.000
9 Pd 0.733 0.733 0.467
10 Pd 0.734 0.734 0.000

Properties
**SG**: I4/mmm (139)
**V**: 160.29 Å³/f.u.
**Total DFT energy (no corrections)**: -0.3297 Ry per atom

---

No. 6
Below is Rb6HCl5 after structural relaxation, with properties calculated at the PBE level.

Cell lengths 8.110, 8.110, 8.103 Å; angles 99.60, 99.60, 120.00 degrees
Fractional positions:
1 Rb 0.082 0.404 0.745
2 Rb 0.240 0.240 0.258
3 Rb 0.404 0.082 0.745
4 Rb 0.596 0.918 0.255
5 Rb 0.760 0.760 0.742
6 Rb 0.918 0.596 0.255
7 H 0.000 0.000 0.500
8 Cl 0.168 0.832 0.000
9 Cl 0.333 0.667 0.500
10 Cl 0.500 0.500 0.000
11 Cl 0.667 0.333 0.500
12 Cl 0.832 0.168 0.000

Properties
**SG**: C2/m (12)
**V**: 435.14 Å³/f.u.
**Total DFT energy (no corrections)**: -0.2333 Ry per atom

---

No. 7
Below is LiEuGaPb after structural relaxation, with properties calculated at the PBE level.

Cell lengths 5.212, 5.212, 5.212 Å; angles 60.00, 60.00, 60.00 degrees
Fractional positions:
1 Li 0.000 0.000 0.000
2 Eu 0.500 0.500 0.500
3 Ga 0.750 0.750 0.750
4 Pb 0.250 0.250 0.250

Properties
**Calculated formation energy**: -141 kJ/mol of formula units
**SG**: F-43m (216)
**V**: 100.09 Å³/f.u.
**Total DFT energy (no corrections)**: -0.3747 Ry per atom

---

No. 8
Below is Sr2Si2Ge after structural relaxation, with properties calculated at the PBE level.

Cell lengths 9.971, 9.971, 9.971 Å; angles 158.97, 158.97, 29.91 degrees
Fractional positions:
1 Sr 0.106 0.106 0.000
2 Sr 0.894 0.894 0.000
3 Si 0.250 0.750 0.500
4 Si 0.750 0.250 0.500
5 Ge 0.500 0.500 0.000

Properties
**Polymorph energy (0 for the lowest one)**: 17.7 kJ/mol of atoms
**SG**: I4/mmm (139)
**E_form (uncorrected)**: -0.2129 eV per atom
**V**: 127.61 Å³/f.u.
**Total DFT energy (no corrections)**: -0.2924 Ry per atom

---

No. 9
Below is Pb5W after structural relaxation, with properties calculated at the PBE level.

Cell lengths 3.459, 3.459, 13.795 Å; angles 90.00, 90.00, 90.00 degrees
Fractional positions:
1 Pb 0.000 0.000 0.000
2 Pb 0.000 0.000 0.374
3 Pb 0.000 0.000 0.626
4 Pb 0.500 0.500 0.182
5 Pb 0.500 0.500 0.818
6 W 0.500 0.500 0.500

Properties
**Polymorph energy (0 for the lowest one)**: 2.0 kJ/mol of atoms
**Calculated formation energy**: 293 kJ/mol of formula units
**SG**: P4/mmm (123)
**V**: 165.06 Å³/f.u.
**Total DFT energy (no corrections)**: -0.3486 Ry per atom

---

No. 10
Below is NaZrMnP2 after structural relaxation, with properties calculated at the PBE level.

Cell lengths 5.052, 5.052, 5.200 Å; angles 90.00, 90.00, 90.00 degrees
Fractional positions:
1 Na 0.000 0.000 0.000
2 Zr 0.500 0.500 0.500
3 Mn 0.500 0.500 0.000
4 P 0.000 0.500 0.500
5 P 0.500 0.000 0.500

Properties
**Calculated formation energy**: 167 kJ/mol of formula units
**SG**: P4/mmm (123)
**V**: 132.73 Å³/f.u.
**Total DFT energy (no corrections)**: -0.4135 Ry per atom

---

No. 11
Below is OsPb2Br after structural relaxation, with properties calculated at the PBE level.

Cell lengths 5.691, 5.691, 3.225 Å; angles 104.20, 104.20, 87.97 degrees
Fractional positions:
1 Os 0.000 0.000 0.000
2 Pb 0.000 0.500 0.500
3 Pb 0.500 0.000 0.500
4 Br 0.500 0.500 0.000

Properties
**Polymorph energy (0 for the lowest one)**: 20.7 kJ/mol of atoms
**SG**: C2/m (12)
**E_form (uncorrected)**: 0.6146 eV per atom
**V**: 98.13 Å³/f.u.
**Total DFT energy (no corrections)**: -0.3282 Ry per atom

---

No. 12
Below is MnCr5Rh6 after structural relaxation, with properties calculated at the PBE level.

Cell lengths 6.106, 6.106, 7.267 Å; angles 90.00, 90.00, 143.61 degrees
Fractional positions:
1 Mn 0.000 0.000 0.000
2 Cr 0.000 0.000 0.500
3 Cr 0.334 0.666 0.500
4 Cr 0.337 0.663 0.000
5 Cr 0.663 0.337 0.000
6 Cr 0.666 0.334 0.500
7 Rh 0.167 0.833 0.250
8 Rh 0.167 0.833 0.750
9 Rh 0.500 0.500 0.253
10 Rh 0.500 0.500 0.747
11 Rh 0.833 0.167 0.250
12 Rh 0.833 0.167 0.750

Properties
**Calculated formation energy**: -116 kJ/mol of formula units
**SG**: Cmmm (65)
**V**: 160.74 Å³/f.u.
**Total DFT energy (no corrections)**: -0.6284 Ry per atom